# 1
The following is a GGA-PBE calculation of an optimized crystal structure of Li2CdCu5Si2, from Alexandria via LeMat-Bulk.

- Uncorrected formation energy: -69 meV per atom

Unit cell a=8.503 b=8.503 c=3.897 alpha=90.00 beta=90.00 gamma=90.00
Positions (direct):
Li1 0.180 0.320 0.000
Li2 0.320 0.820 0.000
Li3 0.680 0.180 0.000
Li4 0.820 0.680 0.000
Cd1 0.000 0.000 0.000
Cd2 0.500 0.500 0.000
Cu1 0.000 0.500 0.500
Cu2 0.070 0.787 0.500
Cu3 0.213 0.070 0.500
Cu4 0.287 0.570 0.500
Cu5 0.430 0.287 0.500
Cu6 0.500 0.000 0.500
Cu7 0.570 0.713 0.500
Cu8 0.713 0.430 0.500
Cu9 0.787 0.930 0.500
Cu10 0.930 0.213 0.500
Si1 0.115 0.615 0.000
Si2 0.385 0.115 0.000
Si3 0.615 0.885 0.000
Si4 0.885 0.385 0.000



# 2
The following is a GGA-PBE calculation of an optimized crystal structure of BeOsCl4, from Alexandria via LeMat-Bulk.

- Uncorrected formation energy: 1784 meV per atom

Unit cell a=5.658 b=5.658 c=5.658 alpha=60.00 beta=60.00 gamma=60.00
Positions (direct):
Be1 0.000 0.000 0.000
Os1 0.250 0.250 0.250
Cl1 0.128 0.624 0.624
Cl2 0.624 0.128 0.624
Cl3 0.624 0.624 0.128
Cl4 0.624 0.624 0.624



# 3
The following is a GGA-PBE calculation of an optimized crystal structure of Ti3PtC, from Alexandria via LeMat-Bulk.

- Polymorph energy (0 for the lowest one): 130.7 meV/atom

Unit cell a=6.039 b=4.200 c=5.955 alpha=90.00 beta=110.12 gamma=90.00
Positions (direct):
Ti1 0.000 0.000 0.000
Ti2 0.000 0.000 0.500
Ti3 0.258 0.498 0.342
Ti4 0.258 0.502 0.842
Ti5 0.742 0.498 0.158
Ti6 0.742 0.502 0.658
Pt1 0.500 0.003 0.750
Pt2 0.500 0.997 0.250
C1 0.000 0.500 0.000
C2 0.000 0.500 0.500



# 4
The following is a GGA-PBE calculation of an optimized crystal structure of Zn2Ga2As, from Alexandria via LeMat-Bulk.

- Polymorph energy (0 for the lowest one): 64.9 meV/atom

Unit cell a=7.272 b=7.272 c=7.272 alpha=150.44 beta=150.44 gamma=42.29
Positions (direct):
Zn1 0.250 0.750 0.500
Zn2 0.750 0.250 0.500
Ga1 0.098 0.098 0.000
Ga2 0.902 0.902 0.000
As1 0.500 0.500 0.000



# 5
The following is a GGA-PBE calculation of an optimized crystal structure of Mg2Be2Se, from Alexandria via LeMat-Bulk.

- Uncorrected formation energy: 458 meV per atom
- Polymorph energy (0 for the lowest one): 398.9 meV/atom

Unit cell a=6.268 b=6.268 c=6.268 alpha=143.38 beta=143.38 gamma=52.75
Positions (direct):
Mg1 0.250 0.750 0.500
Mg2 0.750 0.250 0.500
Be1 0.091 0.091 0.000
Be2 0.909 0.909 0.000
Se1 0.500 0.500 0.000



# 6
The following is a GGA-PBE calculation of an optimized crystal structure of CsTe2S2, from Alexandria via LeMat-Bulk.

- Uncorrected formation energy: 8 meV per atom
- Polymorph energy (0 for the lowest one): 356.3 meV/atom

Unit cell a=6.467 b=6.467 c=6.467 alpha=129.04 beta=129.04 gamma=74.94
Positions (direct):
Cs1 0.000 0.000 0.000
Te1 0.366 0.366 0.000
Te2 0.634 0.634 0.000
S1 0.250 0.750 0.500
S2 0.750 0.250 0.500



# 7
The following is a GGA-PBE calculation of an optimized crystal structure of ZnAsHSe2, from Alexandria via LeMat-Bulk.

- Polymorph energy (0 for the lowest one): 0.0 meV/atom

Unit cell a=5.039 b=5.039 c=3.343 alpha=90.00 beta=90.00 gamma=90.00
Positions (direct):
Zn1 0.000 0.000 0.000
As1 0.500 0.500 0.000
H1 0.500 0.500 0.500
Se1 0.000 0.500 0.500
Se2 0.500 0.000 0.500



# 8
The following is a GGA-PBE calculation of an optimized crystal structure of Sr2CdHg3Pd4, from Alexandria via LeMat-Bulk.

- DFT total energy: -3.03 eV/atom

Unit cell a=4.399 b=4.399 c=12.199 alpha=90.00 beta=90.00 gamma=90.00
Positions (direct):
Sr1 0.000 0.500 0.244
Sr2 0.500 0.000 0.756
Cd1 0.000 0.000 0.500
Hg1 0.000 0.500 0.864
Hg2 0.500 0.000 0.136
Hg3 0.500 0.500 0.500
Pd1 0.000 0.000 0.000
Pd2 0.000 0.500 0.643
Pd3 0.500 0.000 0.357
Pd4 0.500 0.500 0.000



# 9
The following is a GGA-PBE calculation of an optimized crystal structure of TaAu4Cl, from Alexandria via LeMat-Bulk.

- Uncorrected formation energy: 530 meV per atom

Unit cell a=5.516 b=5.516 c=5.516 alpha=60.00 beta=60.00 gamma=60.00
Positions (direct):
Ta1 0.000 0.000 0.000
Au1 0.125 0.625 0.625
Au2 0.625 0.125 0.625
Au3 0.625 0.625 0.125
Au4 0.625 0.625 0.625
Cl1 0.250 0.250 0.250



# 10
The following is a GGA-PBE calculation of an optimized crystal structure of CoSnOs2S, from Alexandria via LeMat-Bulk.

- Uncorrected formation energy: 2482 meV per atom

Unit cell a=4.927 b=4.927 c=4.642 alpha=90.00 beta=90.00 gamma=90.00
Positions (direct):
Co1 0.000 0.000 0.000
Sn1 0.000 0.000 0.500
Os1 0.000 0.500 0.500
Os2 0.500 0.000 0.500
S1 0.500 0.500 0.000



# 11
The following is a GGA-PBE calculation of an optimized crystal structure of BiPd2Rh, from Alexandria via LeMat-Bulk.

- DFT total energy: -5.49 eV/atom

Unit cell a=4.098 b=4.032 c=8.561 alpha=90.00 beta=95.29 gamma=90.00
Positions (direct):
Bi1 0.071 0.250 0.341
Bi2 0.929 0.750 0.659
Pd1 0.022 0.750 0.116
Pd2 0.477 0.750 0.886
Pd3 0.523 0.250 0.114
Pd4 0.978 0.250 0.884
Rh1 0.419 0.250 0.629
Rh2 0.581 0.750 0.371



# 12
The following is a GGA-PBE calculation of an optimized crystal structure of CaAs2Br, from Alexandria via LeMat-Bulk.

- Uncorrected formation energy: -346 meV per atom
- Polymorph energy (0 for the lowest one): 531.0 meV/atom

Unit cell a=5.142 b=5.142 c=5.142 alpha=120.26 beta=120.26 gamma=89.54
Positions (direct):
Ca1 0.000 0.000 0.000
As1 0.250 0.750 0.500
As2 0.500 0.500 0.000
Br1 0.750 0.250 0.500



Number 1: M_tot 0.0 μB/cell. Number 2: M_tot 1.8 μB/cell. Number 3: M_tot 0.0 μB/cell. Number 4: M_tot 0.0 μB/cell. Number 5: M_tot 0.0 μB/cell. Number 6: M_tot 0.0 μB/cell. Number 7: M_tot 0.0 μB/cell. Number 8: M_tot 0.0 μB/cell. Number 9: M_tot 2.2 μB/cell. Number 10: M_tot 4.9 μB/cell. Number 11: M_tot 0.0 μB/cell. Number 12: M_tot 0.0 μB/cell.